Computed, not measured: a relaxed structure of Li2TmCoF8 at the PBE+U level of DFT.

```
12
Lattice="-3.022 3.074 1.961 -3.338 -3.355 0.252 2.111 -1.823 5.849" Properties=species:S:1:pos:R:3 pbc="T T T"
Li -1.603 -1.513 5.467
Li -2.645 -0.591 2.597
Tm 1.056 -0.912 2.925
Co 0.000 0.000 0.000
F -2.798 -2.536 1.903
F -4.650 -0.209 1.619
F -2.591 1.337 2.994
F -1.450 0.432 6.160
F 0.401 -1.896 6.444
F -1.658 -3.441 5.069
F -3.322 -1.108 4.448
F -0.927 -0.996 3.615
```

Values from the calculation:
magnetic moment	2.02	Bohr magnetons per cell
VASP energy	-5.309	eV/atom